VASP calculation (PBE) on a relaxed structure of CsRb2BaTl.

```
CsRb2BaTl
1.0
7.470 0.000 0.000
0.000 7.470 0.000
0.000 0.000 6.863
Cs Rb Ba Tl
1 2 1 1
direct
0.000 0.000 0.000
0.000 0.500 0.500
0.500 0.000 0.500
0.500 0.500 0.000
0.500 0.500 0.500
```

Values from the calculation:
**Electronic total energy**: -7.0 eV per cell

---

VASP calculation (PBE) on a relaxed structure of NaSr7Ca12.

```
NaSr7Ca12
1.0
-6.892 6.892 6.892
6.892 -6.892 6.892
6.892 6.892 -6.892
Na Sr Ca
1 7 12
direct
0.000 0.000 0.000
0.000 0.000 0.500
0.000 0.500 0.000
0.000 0.500 0.500
0.500 0.000 0.000
0.500 0.000 0.500
0.500 0.500 0.000
0.500 0.500 0.500
0.089 0.227 0.862
0.138 0.365 0.227
0.138 0.911 0.773
0.227 0.138 0.365
0.227 0.862 0.089
0.365 0.227 0.138
0.635 0.773 0.862
0.773 0.138 0.911
0.773 0.862 0.635
0.862 0.089 0.227
0.862 0.635 0.773
0.911 0.773 0.138
```

Values from the calculation:
**ΔE to the lowest computed polymorph**: 0.0 kJ per mole of atoms

---

VASP calculation (PBE) on a relaxed structure of Hf2ScH.

```
Hf2ScH
1.0
3.146 0.000 0.000
-1.573 2.724 0.000
0.000 0.000 25.051
Hf Sc H
6 3 3
direct
0.000 0.000 0.115
0.000 0.000 0.885
0.333 0.667 0.551
0.333 0.667 0.782
0.667 0.333 0.218
0.667 0.333 0.449
0.000 0.000 0.000
0.333 0.667 0.667
0.667 0.333 0.333
0.000 0.000 0.500
0.333 0.667 0.167
0.667 0.333 0.833
```

Values from the calculation:
**ΔE to the lowest computed polymorph**: 3.1 kJ per mole of atoms

---

VASP calculation (PBE) on a relaxed structure of YSn3I.

```
YSn3I
1.0
5.745 0.000 0.000
0.000 5.745 0.000
0.000 0.000 5.745
Y Sn I
1 3 1
direct
0.000 0.000 0.000
0.000 0.500 0.500
0.500 0.000 0.500
0.500 0.500 0.000
0.500 0.500 0.500
```

Values from the calculation:
**ΔE to the lowest computed polymorph**: 23.5 kJ per mole of atoms
**Formation energy from raw total energies**: 0.658 eV/atom

---

VASP calculation (PBE) on a relaxed structure of Ca2ZnN.

```
Ca2ZnN
1.0
3.553 0.000 0.000
-1.776 3.077 0.000
0.000 0.000 26.621
Ca Zn N
6 3 3
direct
0.000 0.000 0.119
0.000 0.000 0.881
0.333 0.667 0.547
0.333 0.667 0.786
0.667 0.333 0.214
0.667 0.333 0.453
0.000 0.000 0.000
0.333 0.667 0.667
0.667 0.333 0.333
0.000 0.000 0.500
0.333 0.667 0.167
0.667 0.333 0.833
```

Values from the calculation:
**ΔE to the lowest computed polymorph**: 0.0 kJ per mole of atoms
**Formation energy from raw total energies**: -0.434 eV/atom

---

VASP calculation (PBE) on a relaxed structure of LaZnRh.

```
LaZnRh
1.0
10.204 0.000 0.000
0.000 4.107 0.000
-4.020 0.000 6.146
La Zn Rh
4 4 4
direct
0.064 0.000 0.309
0.436 0.500 0.691
0.564 0.500 0.309
0.936 0.000 0.691
0.187 0.500 0.072
0.313 0.000 0.928
0.687 0.000 0.072
0.813 0.500 0.928
0.158 0.500 0.683
0.342 0.000 0.317
0.658 0.000 0.683
0.842 0.500 0.317
```

Values from the calculation:
**Electronic total energy**: -61.7 eV per cell